(1)
## TcRhAu2 (SCAN)

Data for TcRhAu2 at its PBEsol-relaxed geometry.

Energy above the lowest structure with this stoichiometry ... 0.000 eV per atom
Calculated total energy ... -51.542 eV/atom
Fermi-level density of states ... 3.46 states/eV per cell
Calculated formation energy ... 0.244 eV per atom

POSCAR file:
```
TcRhAu2
1.0
-1.954 1.954 3.951
1.954 -1.954 3.951
1.954 1.954 -3.951
Tc Rh Au
1 1 2
Direct
0.000 0.000 0.000
0.250 0.750 0.500
0.500 0.500 0.000
0.750 0.250 0.500
```

(2)
## Tc2RhAu (SCAN)

Data for Tc2RhAu at its PBEsol-relaxed geometry.

Energy above the lowest structure with this stoichiometry ... 0.000 eV per atom
Calculated total energy ... -43.131 eV/atom
Fermi-level density of states ... 4.03 states/eV per cell
Calculated formation energy ... 0.131 eV per atom

POSCAR file:
```
Tc2RhAu
1.0
-1.939 1.943 3.817
1.939 -1.943 3.817
1.939 1.943 -3.817
Tc Rh Au
2 1 1
Direct
0.000 0.000 0.000
0.752 0.252 0.500
0.501 0.501 0.000
0.251 0.751 0.500
```